Below is an optimized crystal structure of CuReAg2, with properties calculated at the PBE level.

The distance to the lowest polymorph of the same formula is 463.5 meV per atom. The value obtained for the density is 12.3 g/cm3. The calculation puts the density of states at the Fermi level at 0.6947 states/eV per atom. The spin magnetization comes out at 1.7 μB/f.u.

The space group is I-4m2 (No. 119) and the conventional cell measures 4.1078, 4.1078 and 7.4789 Å, with angles of 90.00, 90.00 and 90.00 degrees. The distinct sites, in fractional coordinates, are Cu at (0.0000, 0.0000, 0.0000), Re at (0.0000, 0.5000, 0.7500), Ag at (0.0000, 0.0000, 0.5000) and Ag at (0.0000, 0.5000, 0.2500).



Below is an optimized crystal structure of CuRe2Ag, with properties calculated at the PBE level.

The distance to the lowest polymorph of the same formula is 375.2 meV per atom. The value obtained for the density is 15.1 g/cm3. The calculation puts the density of states at the Fermi level at 0.5281 states/eV per atom. The spin magnetization comes out at 0.0 μB/f.u.

The space group is P4/mmm (No. 123) and the conventional cell measures 3.6995, 3.6995 and 4.3675 Å, with angles of 90.00, 90.00 and 90.00 degrees. The distinct sites, in fractional coordinates, are Cu at (0.0000, 0.0000, 0.0000), Re at (0.0000, 0.5000, 0.5000) and Ag at (0.5000, 0.5000, 0.0000).



Below is an optimized crystal structure of CuReAg, with properties calculated at the PBE level.

The distance to the lowest polymorph of the same formula is 0.0 meV per atom. The value obtained for the density is 13.2 g/cm3. The calculation puts the density of states at the Fermi level at 0.4801 states/eV per atom. The spin magnetization comes out at 0.0 μB/f.u.

The space group is P3m1 (No. 156) and the conventional cell measures 2.7337, 2.7337 and 6.9328 Å, with angles of 90.00, 90.00 and 120.00 degrees. The distinct sites, in fractional coordinates, are Cu at (0.0000, 0.0000, 0.0000), Re at (0.6667, 0.3333, 0.3099) and Ag at (0.3333, 0.6667, 0.6707).



Below is an optimized crystal structure of CuRe2Ag, with properties calculated at the PBE level.

The distance to the lowest polymorph of the same formula is 250.6 meV per atom. The value obtained for the density is 14.7 g/cm3. The calculation puts the density of states at the Fermi level at 0.6454 states/eV per atom. The spin magnetization comes out at 0.0 μB/f.u.

The space group is Immm (No. 71) and the conventional cell measures 2.7226, 4.4570 and 10.1159 Å, with angles of 90.00, 90.00 and 90.00 degrees. The distinct sites, in fractional coordinates, are Cu at (0.0000, 0.0000, 0.0000), Re at (0.0000, 0.5000, 0.2822) and Ag at (0.0000, 0.0000, 0.5000).



Below is an optimized crystal structure of CuReAg2, with properties calculated at the PBE level.

The distance to the lowest polymorph of the same formula is 190.2 meV per atom. The value obtained for the density is 12.2 g/cm3. The calculation puts the density of states at the Fermi level at 0.7406 states/eV per atom. The spin magnetization comes out at 0.5 μB/f.u.

The space group is Pmm2 (No. 25) and the conventional cell measures 2.6641, 4.0149 and 5.9133 Å, with angles of 90.00, 90.00 and 90.00 degrees. The distinct sites, in fractional coordinates, are Cu at (0.0000, 0.0000, 0.0000), Re at (0.5000, 0.5000, 0.1973), Ag at (0.0000, 0.0000, 0.4616) and Ag at (0.5000, 0.5000, 0.7267).



Below is an optimized crystal structure of CuReAg2, with properties calculated at the PBE level.

The distance to the lowest polymorph of the same formula is 249.6 meV per atom. The value obtained for the density is 12.3 g/cm3. The calculation puts the density of states at the Fermi level at 0.7349 states/eV per atom. The spin magnetization comes out at 0.8 μB/f.u.

The space group is P2/m (No. 10) and the conventional cell measures 2.6425, 4.6657 and 5.1292 Å, with angles of 90.00, 96.51 and 90.00 degrees. The distinct sites, in fractional coordinates, are Cu at (0.0000, 0.0000, 0.0000), Re at (0.5000, 0.0000, 0.5000) and Ag at (0.1849, 0.5000, 0.7545).



Below is an optimized crystal structure of CuRe2Ag, with properties calculated at the PBE level.

The distance to the lowest polymorph of the same formula is 393.8 meV per atom. The value obtained for the density is 15.0 g/cm3. The calculation puts the density of states at the Fermi level at 1.0797 states/eV per atom. The spin magnetization comes out at 0.0 μB/f.u.

The space group is F-43m (No. 216) and the conventional cell measures 6.2170, 6.2170 and 6.2170 Å, with angles of 90.00, 90.00 and 90.00 degrees. The distinct sites, in fractional coordinates, are Cu at (0.0000, 0.0000, 0.0000), Re at (0.0000, 0.0000, 0.5000), Re at (0.2500, 0.2500, 0.2500) and Ag at (0.2500, 0.2500, 0.7500).



Below is an optimized crystal structure of CuRe2Ag, with properties calculated at the PBE level.

The distance to the lowest polymorph of the same formula is 127.1 meV per atom. The value obtained for the density is 14.7 g/cm3. The calculation puts the density of states at the Fermi level at 0.5425 states/eV per atom. The spin magnetization comes out at 0.0 μB/f.u.

The space group is Cmm2 (No. 35) and the conventional cell measures 2.9065, 4.5570 and 9.2471 Å, with angles of 90.00, 90.00 and 90.00 degrees. The distinct sites, in fractional coordinates, are Cu at (0.0000, 0.0000, 0.0000), Re at (0.0000, 0.0000, 0.5232), Re at (0.0000, 0.5000, 0.7593) and Ag at (0.0000, 0.5000, 0.2463).



Below is an optimized crystal structure of CuRe2Ag, with properties calculated at the PBE level.

The distance to the lowest polymorph of the same formula is 253.8 meV per atom. The value obtained for the density is 15.0 g/cm3. The calculation puts the density of states at the Fermi level at 0.8036 states/eV per atom. The spin magnetization comes out at 0.0 μB/f.u.

The space group is Cm (No. 8) and the conventional cell measures 9.1208, 2.6326 and 5.0510 Å, with angles of 90.00, 96.33 and 90.00 degrees. The distinct sites, in fractional coordinates, are Cu at (0.0000, 0.0000, 0.0000), Re at (0.0032, 0.5000, 0.5195), Re at (0.2588, 0.0000, 0.7194) and Ag at (0.2508, 0.5000, 0.2131).



Below is an optimized crystal structure of CuRe2Ag, with properties calculated at the PBE level.

The distance to the lowest polymorph of the same formula is 755.5 meV per atom. The value obtained for the density is 15.3 g/cm3. The calculation puts the density of states at the Fermi level at 1.0383 states/eV per atom. The spin magnetization comes out at 0.0 μB/f.u.

The space group is Fm-3m (No. 225) and the conventional cell measures 6.1781, 6.1781 and 6.1781 Å, with angles of 90.00, 90.00 and 90.00 degrees. The distinct sites, in fractional coordinates, are Cu at (0.0000, 0.0000, 0.0000), Re at (0.2500, 0.2500, 0.2500) and Ag at (0.0000, 0.0000, 0.5000).



Below is an optimized crystal structure of CuReAg2, with properties calculated at the PBE level.

The distance to the lowest polymorph of the same formula is 104.6 meV per atom. The value obtained for the density is 12.2 g/cm3. The calculation puts the density of states at the Fermi level at 0.5849 states/eV per atom. The spin magnetization comes out at 0.0 μB/f.u.

The space group is Cmmm (No. 65) and the conventional cell measures 2.8422, 4.6315 and 9.6085 Å, with angles of 90.00, 90.00 and 90.00 degrees. The distinct sites, in fractional coordinates, are Cu at (0.0000, 0.0000, 0.0000), Re at (0.0000, 0.0000, 0.5000) and Ag at (0.0000, 0.5000, 0.2386).



Below is an optimized crystal structure of CuRe2Ag, with properties calculated at the PBE level.

The distance to the lowest polymorph of the same formula is 686.7 meV per atom. The value obtained for the density is 15.1 g/cm3. The calculation puts the density of states at the Fermi level at 0.9030 states/eV per atom. The spin magnetization comes out at 0.0 μB/f.u.

The space group is P4/mmm (No. 123) and the conventional cell measures 4.7459, 4.7459 and 2.6608 Å, with angles of 90.00, 90.00 and 90.00 degrees. The distinct sites, in fractional coordinates, are Cu at (0.0000, 0.0000, 0.0000), Re at (0.0000, 0.5000, 0.5000) and Ag at (0.5000, 0.5000, 0.0000).



Values of formation enthalpy at 0 K, in order: 3.3; 2.4; 1.1; 1.9; 2.2; 2.4; 2.5; 1.4; 1.9; 3.9; 1.9; 3.7, all in eV/f.u..